# CaTl2Cl | Alexandria | PBE | optimized geometry
# SG: No. 160
# Excess energy over the best structure of this formula in the dataset, meV per atom: 2
data_CaTl2Cl
_cell_length_a 10.509
_cell_length_b 10.509
_cell_length_c 10.509
_cell_angle_alpha 20.97
_cell_angle_beta 20.97
_cell_angle_gamma 20.97
_space_group_name_H-M_alt 'P 1'
_space_group_IT_number 1
loop_
_space_group_symop_operation_xyz
'x,y,z'
loop_
_atom_site_label
_atom_site_type_symbol
_atom_site_fract_x
_atom_site_fract_y
_atom_site_fract_z
Ca1 Ca 0.493 0.493 0.493
Tl1 Tl 0.991 0.991 0.991
Tl2 Tl 0.241 0.241 0.241
Cl1 Cl 0.774 0.774 0.774

---

# Ba2Na2Ag | Alexandria | PBE | optimized geometry
# Calculated formation energy, eV per formula unit: 0.5
# SG: No. 127
# Excess energy over the best structure of this formula in the dataset, meV per atom: 137
data_Ba2Na2Ag
_cell_length_a 8.974
_cell_length_b 8.974
_cell_length_c 6.137
_cell_angle_alpha 90.00
_cell_angle_beta 90.00
_cell_angle_gamma 90.00
_space_group_name_H-M_alt 'P 1'
_space_group_IT_number 1
loop_
_space_group_symop_operation_xyz
'x,y,z'
loop_
_atom_site_label
_atom_site_type_symbol
_atom_site_fract_x
_atom_site_fract_y
_atom_site_fract_z
Na1 Na 0.860 0.360 0.500
Ba1 Ba 0.831 0.669 0.000
Ag1 Ag 0.500 0.500 0.000
Ba2 Ba 0.331 0.831 0.000
Na2 Na 0.360 0.140 0.500
Na3 Na 0.640 0.860 0.500
Ba3 Ba 0.669 0.169 0.000
Na4 Na 0.140 0.640 0.500
Ba4 Ba 0.169 0.331 0.000
Ag2 Ag 0.000 0.000 0.000

---

# TcAs2BrF | Alexandria | PBE | optimized geometry
# SG: No. 123
# Excess energy over the best structure of this formula in the dataset, meV per atom: 537
data_TcAs2BrF
_cell_length_a 4.330
_cell_length_b 4.330
_cell_length_c 5.408
_cell_angle_alpha 90.00
_cell_angle_beta 90.00
_cell_angle_gamma 90.00
_space_group_name_H-M_alt 'P 1'
_space_group_IT_number 1
loop_
_space_group_symop_operation_xyz
'x,y,z'
loop_
_atom_site_label
_atom_site_type_symbol
_atom_site_fract_x
_atom_site_fract_y
_atom_site_fract_z
As1 As 0.000 0.500 0.000
Tc1 Tc 0.500 0.500 0.500
As2 As 0.500 0.000 0.000
Br1 Br 0.000 0.000 0.500
F1 F 0.000 0.000 0.000

---

# VPBr3 | Alexandria | PBE | optimized geometry
# SG: No. 221
# Excess energy over the best structure of this formula in the dataset, meV per atom: 326
data_VPBr3
_cell_length_a 5.148
_cell_length_b 5.148
_cell_length_c 5.148
_cell_angle_alpha 90.00
_cell_angle_beta 90.00
_cell_angle_gamma 90.00
_space_group_name_H-M_alt 'P 1'
_space_group_IT_number 1
loop_
_space_group_symop_operation_xyz
'x,y,z'
loop_
_atom_site_label
_atom_site_type_symbol
_atom_site_fract_x
_atom_site_fract_y
_atom_site_fract_z
Br1 Br 0.000 0.500 0.000
V1 V 0.500 0.500 0.500
Br2 Br 0.000 0.000 0.500
Br3 Br 0.500 0.000 0.000
P1 P 0.000 0.000 0.000

---

# Ac4Pr2NdSm | Alexandria | PBE | optimized geometry
# Calculated formation energy, eV per formula unit: 0.2
# SG: No. 10
data_Ac4Pr2NdSm
_cell_length_a 5.517
_cell_length_b 5.478
_cell_length_c 11.881
_cell_angle_alpha 62.45
_cell_angle_beta 90.00
_cell_angle_gamma 90.00
_space_group_name_H-M_alt 'P 1'
_space_group_IT_number 1
loop_
_space_group_symop_operation_xyz
'x,y,z'
loop_
_atom_site_label
_atom_site_type_symbol
_atom_site_fract_x
_atom_site_fract_y
_atom_site_fract_z
Nd1 Nd 0.500 0.500 0.000
Pr1 Pr 0.500 0.000 0.500
Ac1 Ac 0.500 0.251 0.749
Ac2 Ac 0.000 0.249 0.251
Ac3 Ac 0.500 0.749 0.251
Sm1 Sm 0.000 0.500 0.500
Ac4 Ac 0.000 0.751 0.749
Pr2 Pr 0.000 0.000 0.000

---

# Hf6Ga5P | Alexandria | PBE | optimized geometry
# Calculated formation energy, eV per formula unit: -4.6
# SG: No. 12
data_Hf6Ga5P
_cell_length_a 6.876
_cell_length_b 6.523
_cell_length_c 6.454
_cell_angle_alpha 59.65
_cell_angle_beta 81.06
_cell_angle_gamma 72.10
_space_group_name_H-M_alt 'P 1'
_space_group_IT_number 1
loop_
_space_group_symop_operation_xyz
'x,y,z'
loop_
_atom_site_label
_atom_site_type_symbol
_atom_site_fract_x
_atom_site_fract_y
_atom_site_fract_z
Hf1 Hf 0.235 0.600 0.323
Hf2 Hf 0.760 0.760 0.000
Ga1 Ga 0.000 0.664 0.672
Hf3 Hf 0.235 0.923 0.677
Ga2 Ga 0.500 0.171 0.657
Hf4 Hf 0.240 0.240 0.000
P1 P 0.000 0.000 0.000
Ga3 Ga 0.000 0.336 0.328
Ga4 Ga 0.500 0.500 0.000
Hf5 Hf 0.765 0.077 0.323
Ga5 Ga 0.500 0.829 0.343
Hf6 Hf 0.765 0.400 0.677

---

# Er4NiSb | Alexandria | PBE | optimized geometry
# SG: No. 15
# Excess energy over the best structure of this formula in the dataset, meV per atom: 121
data_Er4NiSb
_cell_length_a 6.468
_cell_length_b 7.125
_cell_length_c 8.167
_cell_angle_alpha 106.48
_cell_angle_beta 113.33
_cell_angle_gamma 90.00
_space_group_name_H-M_alt 'P 1'
_space_group_IT_number 1
loop_
_space_group_symop_operation_xyz
'x,y,z'
loop_
_atom_site_label
_atom_site_type_symbol
_atom_site_fract_x
_atom_site_fract_y
_atom_site_fract_z
Ni1 Ni 0.500 0.500 0.500
Er1 Er 0.683 0.966 0.182
Sb1 Sb 0.155 0.750 0.000
Er2 Er 0.501 0.534 0.818
Er3 Er 0.499 0.466 0.182
Er4 Er 0.750 0.850 0.656
Er5 Er 0.250 0.150 0.344
Er6 Er 0.094 0.650 0.344
Er7 Er 0.906 0.350 0.656
Ni2 Ni 0.000 0.000 0.500
Sb2 Sb 0.845 0.250 0.000
Er8 Er 0.317 0.034 0.818

---

| no. | theoretical density (kg/m3) |
| --- | --- |
| 1 | 6179 |
| 2 | 2880 |
| 3 | 5679 |
| 4 | 3914 |
| 5 | 7742 |
| 6 | 10135 |
| 7 | 8582 |